No. 1
Entry from the Alexandria database: a relaxed Ac2TbSc crystal (PBE).

Lattice parameters (Å, degrees): 3.7505 3.7505 11.9851 81.00 81.00 60.00
Fractional positions:
Ac  0.0862  0.0862  0.7414
Ac  0.2466  0.2466  0.2601
Tb  0.6680  0.6680  0.9961
Sc  0.4992  0.4992  0.5024

density of states at the Fermi level: 6.322 states/eV/f.u.
total DFT energy (no corrections): -4.657 eV/atom
formation energy from the elements: 137 meV/atom

=====

No. 2
Entry from the Alexandria database: a relaxed LaBeH2O4 crystal (PBE).

Lattice parameters (Å, degrees): 4.3260 4.7270 4.7270 73.26 62.77 62.77
Each line ends with the local moment (μB).
Fractional positions:
O  0.0785  0.7819  0.5343  0.21
O  0.9215  0.4657  0.2181  0.21
O  0.3946  0.2181  0.4657  0.21
O  0.6054  0.5343  0.7819  0.21
H  0.1604  0.3396  0.3396  0.00
H  0.8396  0.6604  0.6604  0.00
La  0.0000  0.0000  0.0000  0.00
Be  0.5000  0.5000  0.5000  -0.01

density of states at the Fermi level: 2.473 states/eV/f.u.
total DFT energy (no corrections): -6.310 eV/atom

=====

No. 3
Entry from the Alexandria database: a relaxed La2SmCd2Ag2 crystal (PBE).

Lattice parameters (Å, degrees): 4.9593 4.9593 9.4156 74.73 74.73 60.00
Fractional positions:
Ag  0.6067  0.6067  0.1799
Ag  0.3933  0.3933  0.8201
La  0.1240  0.1240  0.6281
La  0.8760  0.8760  0.3719
Cd  0.7312  0.7312  0.8063
Cd  0.2688  0.2688  0.1937
Sm  0.0000  0.0000  0.0000

density of states at the Fermi level: 7.027 states/eV/f.u.
total DFT energy (no corrections): -3.376 eV/atom
formation energy from the elements: -218 meV/atom

=====

No. 4
Entry from the Alexandria database: a relaxed Tb2Si4W3 crystal (PBE).

Lattice parameters (Å, degrees): 6.7904 6.8500 6.9270 90.00 90.00 108.97
Fractional positions:
W  0.5000  0.5000  0.0000
W  0.7523  0.7484  0.3404
W  0.0000  0.5000  0.5000
W  0.7477  0.2516  0.8404
W  0.2523  0.7484  0.1596
W  0.2477  0.2516  0.6596
Tb  0.0612  0.1894  0.1695
Tb  0.5612  0.1894  0.3305
Tb  0.4388  0.8106  0.6695
Tb  0.9388  0.8106  0.8305
Si  0.1269  0.4955  0.8680
Si  0.8662  0.0900  0.5458
Si  0.3662  0.0900  0.9542
Si  0.6338  0.9100  0.0458
Si  0.1338  0.9100  0.4542
Si  0.6269  0.4955  0.6320
Si  0.3731  0.5045  0.3680
Si  0.8731  0.5045  0.1320

formation energy (no corrections): -0.53 eV per atom
density of states at the Fermi level: 3.894 states/eV/f.u.
total DFT energy (no corrections): -8.291 eV/atom

=====

No. 5
Entry from the Alexandria database: a relaxed La2TbEr5 crystal (PBE).

Lattice parameters (Å, degrees): 5.0917 5.0917 10.6051 103.89 103.89 90.00
Fractional positions:
La  0.7499  0.7499  0.4997
La  0.2501  0.2501  0.5003
Er  0.6214  0.1214  0.2429
Er  0.1214  0.6214  0.2429
Er  0.5000  0.5000  0.0000
Er  0.8786  0.3786  0.7571
Er  0.3786  0.8786  0.7571
Tb  0.0000  0.0000  0.0000

density of states at the Fermi level: 12.912 states/eV/f.u.
total DFT energy (no corrections): -4.629 eV/atom
formation energy from the elements: 34 meV/atom

=====

No. 6
Entry from the Alexandria database: a relaxed Ga2BPOs crystal (PBE).

Lattice parameters (Å, degrees): 4.7375 4.3442 4.7375 90.00 90.00 90.00
Fractional positions:
Ga  0.5000  0.0000  0.0000
Ga  0.0000  0.0000  0.5000
B  0.5000  0.5000  0.5000
Os  0.0000  0.5000  0.0000
P  0.0000  0.0000  0.0000

density of states at the Fermi level: 4.355 states/eV/f.u.
total DFT energy (no corrections): -4.379 eV/atom
formation energy from the elements: 1495 meV/atom

=====

No. 7
Entry from the Alexandria database: a relaxed CaAl2Au6 crystal (PBE).

Lattice parameters (Å, degrees): 4.3754 7.0536 7.0536 63.65 76.35 76.35
Fractional positions:
Au  0.5000  0.7004  0.2996
Au  0.8153  0.4777  0.8749
Au  0.1847  0.5223  0.1252
Au  0.8153  0.8749  0.4777
Au  0.1847  0.1252  0.5223
Au  0.5000  0.2996  0.7004
Ca  0.0000  0.0000  0.0000
Al  0.2993  0.6939  0.6939
Al  0.7007  0.3061  0.3061

density of states at the Fermi level: 3.278 states/eV/f.u.
total DFT energy (no corrections): -3.617 eV/atom
formation energy from the elements: -378 meV/atom

=====

No. 8
Entry from the Alexandria database: a relaxed RbMnH2Pt crystal (PBE).

Lattice parameters (Å, degrees): 3.9591 3.9591 7.5133 90.00 90.00 90.00
Each line ends with the local moment (μB).
Fractional positions:
H  0.0000  0.5000  0.0000  -0.03
H  0.5000  0.0000  0.0000  -0.03
Rb  0.0000  0.0000  0.5000  0.00
Pt  0.5000  0.5000  0.5000  0.04
Mn  0.0000  0.0000  0.0000  4.37

density of states at the Fermi level: 2.160 states/eV/f.u.
total DFT energy (no corrections): -3.582 eV/atom

=====

No. 9
Entry from the Alexandria database: a relaxed InIrPt3 crystal (PBE).

Lattice parameters (Å, degrees): 4.8797 4.8797 4.8797 90.00 90.00 90.00
Fractional positions:
In  0.5000  0.5000  0.5000
Pt  0.0000  0.0000  0.5000
Pt  0.5000  0.0000  0.0000
Pt  0.0000  0.5000  0.0000
Ir  0.0000  0.0000  0.0000

density of states at the Fermi level: 8.871 states/eV/f.u.
total DFT energy (no corrections): -4.956 eV/atom
formation energy from the elements: 989 meV/atom

=====

No. 10
Entry from the Alexandria database: a relaxed KCaTlCl4 crystal (PBE).

Lattice parameters (Å, degrees): 5.3567 5.3567 8.8891 107.54 107.54 90.00
Fractional positions:
Tl  0.3510  0.3510  0.7021
K  0.6387  0.6387  0.2773
Cl  0.8304  0.8304  0.6608
Cl  0.0057  0.5057  0.0114
Cl  0.1701  0.1701  0.3401
Cl  0.5057  0.0057  0.0114
Ca  0.9984  0.9984  0.9968

formation energy (no corrections): -1.86 eV per atom
density of states at the Fermi level: 0.000 states/eV/f.u.
total DFT energy (no corrections): -3.693 eV/atom

=====

No. 11
Entry from the Alexandria database: a relaxed InSbPd2Pt crystal (PBE).

Lattice parameters (Å, degrees): 5.0139 4.9487 5.0139 90.00 90.00 90.00
Fractional positions:
Pt  0.0000  0.0000  0.0000
Pd  0.5000  0.0000  0.0000
Pd  0.0000  0.0000  0.5000
Sb  0.5000  0.5000  0.5000
In  0.0000  0.5000  0.0000

formation energy (no corrections): 0.52 eV per atom
density of states at the Fermi level: 4.199 states/eV/f.u.
total DFT energy (no corrections): -4.138 eV/atom

=====

No. 12
Entry from the Alexandria database: a relaxed Hf2NpHg crystal (PBE).

Lattice parameters (Å, degrees): 3.2222 3.2222 10.1455 80.86 80.86 60.00
Each line ends with the local moment (μB).
Fractional positions:
Hf  0.7508  0.7508  0.7475  -0.02
Hf  0.2492  0.2492  0.2525  -0.02
Hg  0.5000  0.5000  0.5000  0.00
Np  0.0000  0.0000  0.0000  3.37

density of states at the Fermi level: 6.373 states/eV/f.u.
total DFT energy (no corrections): -8.111 eV/atom
formation energy from the elements: 177 meV/atom

=====

No. 13
Entry from the Alexandria database: a relaxed HfP2PdO crystal (PBE).

Lattice parameters (Å, degrees): 5.1115 5.1115 3.8668 90.00 90.00 90.00
Fractional positions:
Hf  0.0000  0.0000  0.0000
Pd  0.5000  0.5000  0.5000
O  0.0000  0.0000  0.5000
P  0.0000  0.5000  0.0000
P  0.5000  0.0000  0.0000

formation energy (no corrections): -0.30 eV per atom
density of states at the Fermi level: 4.657 states/eV/f.u.
total DFT energy (no corrections): -6.488 eV/atom

=====

No. 14
Entry from the Alexandria database: a relaxed ReRuW2N crystal (PBE).

Lattice parameters (Å, degrees): 4.1069 4.1069 4.0370 90.00 90.00 90.00
Fractional positions:
W  0.0000  0.5000  0.0000
W  0.5000  0.0000  0.0000
Re  0.0000  0.0000  0.5000
Ru  0.5000  0.5000  0.5000
N  0.0000  0.0000  0.0000

formation energy (no corrections): 0.09 eV per atom
density of states at the Fermi level: 4.411 states/eV/f.u.
total DFT energy (no corrections): -11.101 eV/atom

=====

No. 15
Entry from the Alexandria database: a relaxed BaSmPb crystal (PBE).

Lattice parameters (Å, degrees): 4.8494 5.3955 5.3955 120.00 90.00 90.00
Fractional positions:
Ba  0.6664  0.3333  0.6667
Pb  0.1678  0.0000  0.0000
Sm  0.1659  0.6667  0.3333

density of states at the Fermi level: 1.848 states/eV/f.u.
total DFT energy (no corrections): -3.732 eV/atom
formation energy from the elements: -282 meV/atom

=====

No. 16
Entry from the Alexandria database: a relaxed Tm6Ni2Hg crystal (PBE).

Lattice parameters (Å, degrees): 8.2541 8.2541 8.2541 106.33 109.64 112.50
Fractional positions:
Tm  0.7993  0.2354  0.0347
Tm  0.7993  0.7646  0.5639
Tm  0.1064  0.2894  0.8169
Tm  0.6941  0.0198  0.3257
Tm  0.2007  0.2354  0.4361
Tm  0.3059  0.9802  0.6743
Tm  0.5275  0.7106  0.8169
Tm  0.2007  0.7646  0.9653
Tm  0.3059  0.6316  0.3257
Tm  0.6941  0.3684  0.6743
Tm  0.4725  0.2894  0.1831
Tm  0.8936  0.7106  0.1831
Ni  0.5000  0.3768  0.8768
Ni  0.5000  0.6232  0.1232
Ni  0.3549  0.0000  0.3549
Ni  0.6451  0.0000  0.6451
Hg  0.0000  0.5000  0.5000
Hg  0.0000  0.0000  0.0000

density of states at the Fermi level: 9.682 states/eV/f.u.
total DFT energy (no corrections): -4.664 eV/atom
formation energy from the elements: -365 meV/atom

=====

No. 17
Entry from the Alexandria database: a relaxed LaSnHg crystal (PBE).

Lattice parameters (Å, degrees): 4.7960 6.4876 6.4876 80.05 68.31 68.31
Fractional positions:
La  0.0000  0.6206  0.3794
La  0.5000  0.1628  0.8372
Sn  0.2509  0.7312  0.7671
Sn  0.7491  0.2329  0.2688
Hg  0.6849  0.6311  0.9991
Hg  0.3151  0.0009  0.3689

density of states at the Fermi level: 1.107 states/eV/f.u.
total DFT energy (no corrections): -3.650 eV/atom
formation energy from the elements: -572 meV/atom

=====

No. 18
Entry from the Alexandria database: a relaxed Sm2ErHg2 crystal (PBE).

Lattice parameters (Å, degrees): 3.7635 5.3181 14.0082 90.00 97.72 90.00
Each line ends with the local moment (μB).
Fractional positions:
Hg  0.5539  0.2500  0.1078  0.01
Hg  0.4461  0.7500  0.8922  0.01
Hg  0.3582  0.2500  0.7166  0.00
Hg  0.6418  0.7500  0.2834  0.00
Sm  0.2339  0.7500  0.4690  0.01
Sm  0.0460  0.7500  0.0909  0.13
Sm  0.7661  0.2500  0.5310  0.01
Sm  0.9540  0.2500  0.9091  0.13
Er  0.1470  0.2500  0.2933  0.03
Er  0.8530  0.7500  0.7067  0.03

density of states at the Fermi level: 5.333 states/eV/f.u.
total DFT energy (no corrections): -3.292 eV/atom
formation energy from the elements: -371 meV/atom

=====

No. 19
Entry from the Alexandria database: a relaxed MgTa2Si crystal (PBE).

Lattice parameters (Å, degrees): 2.8607 2.8607 8.7386 90.00 90.00 103.98
Fractional positions:
Si  0.5000  0.5000  0.7500
Mg  0.5000  0.5000  0.2500
Ta  0.0000  0.0000  0.5279
Ta  0.0000  0.0000  0.9721

formation energy (no corrections): 0.01 eV per atom
density of states at the Fermi level: 1.913 states/eV/f.u.
total DFT energy (no corrections): -7.675 eV/atom